# Ir2RuRh, optimized geometry, DFT GGA-PBE
# formation enthalpy at 0 K	-0.286	kcal/mol of atoms
data_Ir2RuRh
_chemical_formula_sum 'Ir2 Ru1 Rh1'
_space_group_name_H-M_alt 'P 1 m 1'
_space_group_IT_number 6
_cell_length_a 2.719
_cell_length_b 3.856
_cell_length_c 5.447
_cell_angle_alpha 90.00
_cell_angle_beta 90.09
_cell_angle_gamma 90.00
loop_
_space_group_symop_operation_xyz
'x,y,z'
'x,-y,z'
loop_
_atom_site_label
_atom_site_type_symbol
_atom_site_fract_x
_atom_site_fract_y
_atom_site_fract_z
Ir1 Ir 0.000 0.000 0.000
Ir2 Ir 0.500 0.500 0.253
Ru1 Ru 0.500 0.500 0.755
Rh1 Rh 0.000 0.000 0.505